{"formula": "Li2VO3F", "functional": "PBE with a Hubbard U", "state": "relaxed", "energy_ev_per_fu": -43.39, "dos_at_fermi_per_ev_cell": 0.00, "lattice": [[5.061, 0.000, 0.000], [-2.022, 4.854, 0.000], [-0.143, -0.247, 5.777]], "species": ["Li", "Li", "Li", "Li", "V", "V", "O", "O", "O", "O", "O", "O", "F", "F"], "fractional_positions": [[0.000, 0.000, 0.000], [0.044, 0.518, 0.226], [0.525, 0.482, 0.996], [0.583, 0.461, 0.499], [0.031, 0.056, 0.496], [0.463, 0.922, 0.756], [0.226, 0.779, 0.515], [0.230, 0.243, 0.275], [0.276, 0.747, 0.978], [0.281, 0.208, 0.740], [0.729, 0.775, 0.731], [0.780, 0.203, 0.516], [0.738, 0.229, 0.983], [0.791, 0.734, 0.256]]}